The following is a PBE calculation of a relaxed Mg3ReSb crystal, from Alexandria.

Values from the calculation:
The space-group type is Pm-3m, No. 221. Its uncorrected formation energy is 6.66 eV/f.u. Its energy above the lowest structure with this stoichiometry is 422 meV per atom. For the total energy, the calculation gives -2.94 eV/atom.

abc: 5.245 5.245 5.245
angles: 90.00 90.00 90.00
Fractional coordinates of all 5 atoms:
Re (0.500, 0.500, 0.500)
Mg (0.000, 0.500, 0.000)
Mg (0.000, 0.000, 0.500)
Mg (0.500, 0.000, 0.000)
Sb (0.000, 0.000, 0.000)